Arrangement i

Entry from Alexandria: an optimized crystal structure of SnPd3C (PBE).

Output
Total magnetic moment ... 0.000 μB per atom

a = 4.243 Å, b = 4.243 Å, c = 4.243 Å
α = 90.00°, β = 90.00°, γ = 90.00°
Positions (direct):
Sn (0.000, 0.000, 0.000)
Pd (0.000, 0.500, 0.500)
Pd (0.500, 0.000, 0.500)
Pd (0.500, 0.500, 0.000)
C (0.500, 0.500, 0.500)



Arrangement ii

Entry from Alexandria: an optimized crystal structure of SnPd3C (PBE).

Output
Total magnetic moment ... 0.172 μB per atom

a = 4.941 Å, b = 4.941 Å, c = 4.941 Å
α = 90.00°, β = 90.00°, γ = 90.00°
Positions (direct):
Sn (0.000, 0.000, 0.000)
Pd (0.000, 0.000, 0.500)
Pd (0.000, 0.500, 0.000)
Pd (0.500, 0.000, 0.000)
C (0.500, 0.500, 0.500)



The relative energies come out as arrangement i 0; arrangement ii 1781, with values in meV/atom.



Arrangement i

Entry from Alexandria: an optimized crystal structure of Sn3PdC (PBE).

Output
Total magnetic moment ... 0.217 μB per atom

a = 5.164 Å, b = 5.164 Å, c = 5.164 Å
α = 90.00°, β = 90.00°, γ = 90.00°
Positions (direct):
Sn (0.000, 0.000, 0.500)
Sn (0.000, 0.500, 0.000)
Sn (0.500, 0.000, 0.000)
Pd (0.000, 0.000, 0.000)
C (0.500, 0.500, 0.500)



Arrangement ii

Entry from Alexandria: an optimized crystal structure of Sn3PdC (PBE).

Output
Total magnetic moment ... 0.000 μB per atom

a = 4.692 Å, b = 4.692 Å, c = 4.692 Å
α = 90.00°, β = 90.00°, γ = 90.00°
Positions (direct):
Sn (0.000, 0.000, 0.500)
Sn (0.000, 0.500, 0.000)
Sn (0.500, 0.000, 0.000)
Pd (0.500, 0.500, 0.500)
C (0.000, 0.000, 0.000)



The relative energies come out as arrangement i 573; arrangement ii 0, with values in meV/atom.



Arrangement i

Entry from Alexandria: an optimized crystal structure of TaPdC3 (PBE).

Output
Total magnetic moment ... 0.000 μB per atom

a = 4.168 Å, b = 4.168 Å, c = 4.168 Å
α = 90.00°, β = 90.00°, γ = 90.00°
Positions (direct):
Ta (0.000, 0.000, 0.000)
Pd (0.500, 0.500, 0.500)
C (0.000, 0.000, 0.500)
C (0.000, 0.500, 0.000)
C (0.500, 0.000, 0.000)



Arrangement ii

Entry from Alexandria: an optimized crystal structure of TaPdC3 (PBE).

Output
Total magnetic moment ... 0.000 μB per atom

a = 3.933 Å, b = 3.933 Å, c = 3.933 Å
α = 90.00°, β = 90.00°, γ = 90.00°
Positions (direct):
Ta (0.000, 0.000, 0.000)
Pd (0.500, 0.500, 0.500)
C (0.000, 0.500, 0.500)
C (0.500, 0.000, 0.500)
C (0.500, 0.500, 0.000)



The relative energies come out as arrangement i 0; arrangement ii 498, with values in meV/atom.